CeURu4 after structural relaxation. Source: Alexandria via LeMat-Bulk, functional GGA-PBE.

```
data_CeURu4
_space_group_name_H-M_alt 'P 1'
_space_group_IT_number 1
_cell_length_a 5.3211
_cell_length_b 5.3211
_cell_length_c 5.3211
_cell_angle_alpha 60.00
_cell_angle_beta 60.00
_cell_angle_gamma 60.00
loop_
_space_group_symop_operation_xyz
'x,y,z'
loop_
_atom_site_label
_atom_site_fract_x
_atom_site_fract_y
_atom_site_fract_z
Ru1 0.6248 0.6248 0.1256
Ru2 0.6248 0.1256 0.6248
Ru3 0.6248 0.6248 0.6248
Ru4 0.1256 0.6248 0.6248
U1 0.2500 0.2500 0.2500
Ce1 0.0000 0.0000 0.0000
```

## Properties
Space-group type = No. 216
Electronic total energy = -55.4 eV per cell
Relative energy among the computed polymorphs = 0.000 eV/atom
Formation energy = -16.9 kJ per mole of atoms
Total magnetization = 1.89 μB/cell
D(E_F) = 13.26 states/eV/f.u.

---

LiSi4Pb after structural relaxation. Source: Alexandria via LeMat-Bulk, functional GGA-PBE.

```
data_LiSi4Pb
_space_group_name_H-M_alt 'P 1'
_space_group_IT_number 1
_cell_length_a 5.3570
_cell_length_b 5.3570
_cell_length_c 5.3570
_cell_angle_alpha 60.00
_cell_angle_beta 60.00
_cell_angle_gamma 60.00
loop_
_space_group_symop_operation_xyz
'x,y,z'
loop_
_atom_site_label
_atom_site_fract_x
_atom_site_fract_y
_atom_site_fract_z
Li1 0.7500 0.7500 0.7500
Si1 0.8639 0.3787 0.3787
Si2 0.3787 0.3787 0.8639
Si3 0.3787 0.8639 0.3787
Si4 0.3787 0.3787 0.3787
Pb1 0.0000 0.0000 0.0000
```

## Properties
Space-group type = No. 216
Electronic total energy = -25.5 eV per cell
Total magnetization = 0.00 μB/cell
D(E_F) = 3.72 states/eV/f.u.

---

Tb6CeSm12 after structural relaxation. Source: Alexandria via LeMat-Bulk, functional GGA-PBE.

```
data_Tb6CeSm12
_space_group_name_H-M_alt 'P 1'
_space_group_IT_number 1
_cell_length_a 8.8170
_cell_length_b 8.8170
_cell_length_c 8.8170
_cell_angle_alpha 99.82
_cell_angle_beta 99.82
_cell_angle_gamma 99.82
loop_
_space_group_symop_operation_xyz
'x,y,z'
loop_
_atom_site_label
_atom_site_fract_x
_atom_site_fract_y
_atom_site_fract_z
Tb1 0.9006 0.3342 0.9006
Tb2 0.9006 0.9006 0.3342
Tb3 0.3342 0.9006 0.9006
Tb4 0.0994 0.0994 0.6658
Tb5 0.0994 0.6658 0.0994
Tb6 0.6658 0.0994 0.0994
Ce1 0.0000 0.0000 0.0000
Sm1 0.7572 0.2428 0.5000
Sm2 0.3496 0.0779 0.3496
Sm3 0.3496 0.3496 0.0779
Sm4 0.9221 0.6504 0.6504
Sm5 0.6504 0.6504 0.9221
Sm6 0.6504 0.9221 0.6504
Sm7 0.5000 0.7572 0.2428
Sm8 0.2428 0.5000 0.7572
Sm9 0.2428 0.7572 0.5000
Sm10 0.5000 0.2428 0.7572
Sm11 0.7572 0.5000 0.2428
Sm12 0.0779 0.3496 0.3496
```

## Properties
Space-group type = No. 166
Electronic total energy = -86.5 eV per cell
Formation energy = 19.7 kJ per mole of atoms
Total magnetization = 1.30 μB/cell
D(E_F) = 37.68 states/eV/f.u.

---

VCdCo after structural relaxation. Source: Alexandria via LeMat-Bulk, functional GGA-PBE.

```
data_VCdCo
_space_group_name_H-M_alt 'P 1'
_space_group_IT_number 1
_cell_length_a 5.5425
_cell_length_b 4.2287
_cell_length_c 6.2546
_cell_angle_alpha 73.12
_cell_angle_beta 63.70
_cell_angle_gamma 49.06
loop_
_space_group_symop_operation_xyz
'x,y,z'
loop_
_atom_site_label
_atom_site_fract_x
_atom_site_fract_y
_atom_site_fract_z
V1 0.7500 0.5000 0.5000
V2 0.2500 0.5000 0.5000
Cd1 0.7920 0.4161 0.0000
Cd2 0.2080 0.5839 0.0000
Co1 0.6582 0.0000 0.6837
Co2 0.3418 0.0000 0.3163
```

## Properties
Space-group type = No. 69
Electronic total energy = -32.0 eV per cell
Formation energy = 36.2 kJ per mole of atoms
Total magnetization = 0.00 μB/cell
D(E_F) = 2.22 states/eV/f.u.